[1]
Material: K2CoP2O7
Method: DFT, PBE+U
State: optimized geometry

a b c (Å): 7.8483 7.8483 11.1672
angles (deg): 90.00 90.00 90.00
Positions (direct):
K 0.1476 0.1476 0.0000
K 0.1860 0.1860 0.5000
K 0.3140 0.6860 0.0000
K 0.3524 0.6476 0.5000
K 0.6476 0.3524 0.5000
K 0.6860 0.3140 0.0000
K 0.8140 0.8140 0.5000
K 0.8524 0.8524 0.0000
Co 0.0000 0.5000 0.2500
Co 0.0000 0.5000 0.7500
Co 0.5000 0.0000 0.2500
Co 0.5000 0.0000 0.7500
P 0.1377 0.8623 0.2867
P 0.1377 0.8623 0.7133
P 0.3623 0.3623 0.2133
P 0.3623 0.3623 0.7867
P 0.6377 0.6377 0.2133
P 0.6377 0.6377 0.7867
P 0.8623 0.1377 0.2867
P 0.8623 0.1377 0.7133
O 0.0000 0.0000 0.3385
O 0.0000 0.0000 0.6615
O 0.0788 0.6951 0.3467
O 0.0788 0.6951 0.6533
O 0.1371 0.8629 0.1520
O 0.1371 0.8629 0.8480
O 0.1951 0.4212 0.1533
O 0.1951 0.4212 0.8467
O 0.3049 0.9212 0.3467
O 0.3049 0.9212 0.6533
O 0.3629 0.3629 0.3480
O 0.3629 0.3629 0.6520
O 0.4212 0.1951 0.1533
O 0.4212 0.1951 0.8467
O 0.5000 0.5000 0.1615
O 0.5000 0.5000 0.8385
O 0.5788 0.8049 0.1533
O 0.5788 0.8049 0.8467
O 0.6371 0.6371 0.3480
O 0.6371 0.6371 0.6520
O 0.6951 0.0788 0.3467
O 0.6951 0.0788 0.6533
O 0.8049 0.5788 0.1533
O 0.8049 0.5788 0.8467
O 0.8629 0.1371 0.1520
O 0.8629 0.1371 0.8480
O 0.9212 0.3049 0.3467
O 0.9212 0.3049 0.6533

Results
**VASP energy**: -0.2396 hartree per atom
**Size of the total moment**: 12.00 μB/cell

***

[2]
Material: K2CoPb2O6
Method: DFT, PBE+U
State: optimized geometry

a b c (Å): 7.1260 7.1260 7.1260
angles (deg): 47.74 47.74 47.74
Positions (direct):
K 0.1692 0.1692 0.1692
K 0.8308 0.8308 0.8308
Co 0.0000 0.0000 0.0000
Pb 0.3353 0.3353 0.3353
Pb 0.6647 0.6647 0.6647
O 0.2103 0.2103 0.7594
O 0.2103 0.7594 0.2103
O 0.2406 0.7897 0.7897
O 0.7594 0.2103 0.2103
O 0.7897 0.2406 0.7897
O 0.7897 0.7897 0.2406

Results
**VASP energy**: -0.1788 hartree per atom
**Size of the total moment**: 0.01 μB/cell

***

[3]
Material: K4Rb2Co2O5
Method: DFT, PBE+U
State: optimized geometry

a b c (Å): 6.6428 6.6428 6.7520
angles (deg): 90.02 90.02 118.05
Positions (direct):
K 0.2176 0.7824 0.0000
K 0.2341 0.7659 0.5000
K 0.7659 0.2341 0.5000
K 0.7824 0.2176 0.0000
Rb 0.3294 0.3294 0.7954
Rb 0.6706 0.6706 0.2046
Co 0.2087 0.2087 0.3024
Co 0.7913 0.7913 0.6976
O 0.0000 0.0000 0.5000
O 0.1526 0.4414 0.2284
O 0.4414 0.1526 0.2284
O 0.5586 0.8474 0.7716
O 0.8474 0.5586 0.7716

Results
**VASP energy**: -0.1604 hartree per atom
**Size of the total moment**: 5.99 μB/cell

***

[4]
Material: K2Rb4Co2O5
Method: DFT, PBE+U
State: optimized geometry

a b c (Å): 6.7985 6.7985 6.7821
angles (deg): 90.24 90.24 119.41
Positions (direct):
K 0.2191 0.7809 0.0000
K 0.7809 0.2191 0.0000
Rb 0.2375 0.7625 0.5000
Rb 0.3274 0.3274 0.1942
Rb 0.6726 0.6726 0.8058
Rb 0.7625 0.2375 0.5000
Co 0.2054 0.2054 0.7028
Co 0.7946 0.7946 0.2972
O 0.0000 0.0000 0.5000
O 0.1544 0.4320 0.7854
O 0.4320 0.1544 0.7854
O 0.5680 0.8456 0.2146
O 0.8456 0.5680 0.2146

Results
**VASP energy**: -0.1586 hartree per atom
**Size of the total moment**: 5.99 μB/cell

***

- The highest VASP energy belongs to which entry?
  K2Rb4Co2O5

***

- Number 4 is which compound?
  K2Rb4Co2O5

***

- The lowest size of the total moment belongs to which entry?
  K2CoPb2O6

***

- What is the VASP energy in the second record?
  -0.1788 hartree per atom